#a
# LaScRu (GGA-PBE, relaxed)
data_LaScRu
_chemical_formula_sum 'La2 Sc2 Ru2'
_space_group_name_H-M_alt 'P 4/n m m'
_space_group_IT_number 129
_cell_length_a 4.603
_cell_length_b 4.603
_cell_length_c 6.650
_cell_angle_alpha 90.00
_cell_angle_beta 90.00
_cell_angle_gamma 90.00
loop_
_space_group_symop_operation_xyz
'x,y,z'
'-x,-y,-z'
'-y+1/2,x,z'
'y+1/2,-x,-z'
'-x+1/2,-y+1/2,z'
'x+1/2,y+1/2,-z'
'y,-x+1/2,z'
'-y,x+1/2,-z'
'x+1/2,-y,-z'
'-x+1/2,y,z'
'-y,-x,-z'
'y,x,z'
'-x,y+1/2,-z'
'x,-y+1/2,z'
'y+1/2,x+1/2,-z'
'-y+1/2,-x+1/2,z'
loop_
_atom_site_label
_atom_site_type_symbol
_atom_site_fract_x
_atom_site_fract_y
_atom_site_fract_z
La1 La 0.250 0.250 0.121
Sc1 Sc 0.250 0.750 0.500
Ru1 Ru 0.250 0.250 0.735
# total moment: 0.00 μB per formula unit

=====

#b
# LaScRu (GGA-PBE, relaxed)
data_LaScRu
_chemical_formula_sum 'La4 Sc4 Ru4'
_space_group_name_H-M_alt 'F -4 3 m'
_space_group_IT_number 216
_space_group_name_Hall 'F -4 2 3'
_cell_length_a 6.532
_cell_length_b 6.532
_cell_length_c 6.532
_cell_angle_alpha 90.00
_cell_angle_beta 90.00
_cell_angle_gamma 90.00
loop_
_atom_site_label
_atom_site_type_symbol
_atom_site_fract_x
_atom_site_fract_y
_atom_site_fract_z
La1 La 0.000 0.000 0.000
Sc1 Sc 0.250 0.250 0.750
Ru1 Ru 0.250 0.250 0.250
# total moment: 0.00 μB per formula unit

=====

Short version: #a is the most stable of them.

=====

#a
# LaScRu (GGA-PBE, relaxed)
data_LaScRu
_chemical_formula_sum 'La1 Sc1 Ru1'
_space_group_name_H-M_alt 'P 3 m 1'
_space_group_IT_number 156
_space_group_name_Hall 'P 3 -2"'
_cell_length_a 4.0808
_cell_length_b 4.0808
_cell_length_c 5.6296
_cell_angle_alpha 90.00
_cell_angle_beta 90.00
_cell_angle_gamma 120.00
loop_
_atom_site_label
_atom_site_type_symbol
_atom_site_fract_x
_atom_site_fract_y
_atom_site_fract_z
La1 La 0.0000 0.0000 0.0000
Sc1 Sc 0.3333 0.6667 0.4747
Ru1 Ru 0.6667 0.3333 0.2789
# total moment: 0.00 μB per formula unit

=====

#b
# LaScRu (GGA-PBE, relaxed)
data_LaScRu
_chemical_formula_sum 'La2 Sc2 Ru2'
_space_group_name_H-M_alt 'I 4 m m'
_space_group_IT_number 107
_space_group_name_Hall 'I 4 -2'
_cell_length_a 3.356
_cell_length_b 3.356
_cell_length_c 12.899
_cell_angle_alpha 90.00
_cell_angle_beta 90.00
_cell_angle_gamma 90.00
loop_
_atom_site_label
_atom_site_type_symbol
_atom_site_fract_x
_atom_site_fract_y
_atom_site_fract_z
La1 La 0.000 0.000 0.000
Sc1 Sc 0.000 0.000 0.744
Ru1 Ru 0.000 0.000 0.353
# total moment: 0.00 μB per formula unit

=====

Short version: #b is the most stable of them.

=====

#a
# LaScRu3 (GGA-PBE, relaxed)
data_LaScRu3
_chemical_formula_sum 'La1 Sc1 Ru3'
_space_group_name_H-M_alt 'P m -3 m'
_space_group_IT_number 221
_space_group_name_Hall '-P 4 2 3'
_cell_length_a 4.791
_cell_length_b 4.791
_cell_length_c 4.791
_cell_angle_alpha 90.00
_cell_angle_beta 90.00
_cell_angle_gamma 90.00
loop_
_atom_site_label
_atom_site_type_symbol
_atom_site_fract_x
_atom_site_fract_y
_atom_site_fract_z
La1 La 0.000 0.000 0.000
Sc1 Sc 0.500 0.500 0.500
Ru1 Ru 0.000 0.000 0.500
# total moment: 0.77 μB per formula unit

=====

#b
# LaScRu3 (GGA-PBE, relaxed)
data_LaScRu3
_chemical_formula_sum 'La1 Sc1 Ru3'
_space_group_name_H-M_alt 'P m -3 m'
_space_group_IT_number 221
_space_group_name_Hall '-P 4 2 3'
_cell_length_a 4.730
_cell_length_b 4.730
_cell_length_c 4.730
_cell_angle_alpha 90.00
_cell_angle_beta 90.00
_cell_angle_gamma 90.00
loop_
_atom_site_label
_atom_site_type_symbol
_atom_site_fract_x
_atom_site_fract_y
_atom_site_fract_z
La1 La 0.000 0.000 0.000
Sc1 Sc 0.500 0.500 0.500
Ru1 Ru 0.000 0.500 0.500
# total moment: 0.00 μB per formula unit

=====

Short version: #b is the most stable of them.

=====

#a
# LaYSc2Ru (GGA-PBE, relaxed)
data_LaYSc2Ru
_chemical_formula_sum 'La1 Y1 Sc2 Ru1'
_space_group_name_H-M_alt 'P 4/m m m'
_space_group_IT_number 123
_space_group_name_Hall '-P 4 2'
_cell_length_a 5.125
_cell_length_b 5.125
_cell_length_c 5.383
_cell_angle_alpha 90.00
_cell_angle_beta 90.00
_cell_angle_gamma 90.00
loop_
_atom_site_label
_atom_site_type_symbol
_atom_site_fract_x
_atom_site_fract_y
_atom_site_fract_z
La1 La 0.000 0.000 0.000
Y1 Y 0.500 0.500 0.000
Sc1 Sc 0.000 0.500 0.500
Ru1 Ru 0.500 0.500 0.500
# total moment: 0.00 μB per formula unit

=====

#b
# LaYSc2Ru (GGA-PBE, relaxed)
data_LaYSc2Ru
_chemical_formula_sum 'La1 Y1 Sc2 Ru1'
_space_group_name_H-M_alt 'P 4/m m m'
_space_group_IT_number 123
_space_group_name_Hall '-P 4 2'
_cell_length_a 5.220
_cell_length_b 5.220
_cell_length_c 4.807
_cell_angle_alpha 90.00
_cell_angle_beta 90.00
_cell_angle_gamma 90.00
loop_
_atom_site_label
_atom_site_type_symbol
_atom_site_fract_x
_atom_site_fract_y
_atom_site_fract_z
La1 La 0.000 0.000 0.000
Y1 Y 0.500 0.500 0.500
Sc1 Sc 0.000 0.500 0.000
Ru1 Ru 0.000 0.000 0.500
# total moment: 0.00 μB per formula unit

=====

#c
# LaYSc2Ru (GGA-PBE, relaxed)
data_LaYSc2Ru
_chemical_formula_sum 'La1 Y1 Sc2 Ru1'
_space_group_name_H-M_alt 'P 4/m m m'
_space_group_IT_number 123
_space_group_name_Hall '-P 4 2'
_cell_length_a 5.188
_cell_length_b 5.188
_cell_length_c 5.324
_cell_angle_alpha 90.00
_cell_angle_beta 90.00
_cell_angle_gamma 90.00
loop_
_atom_site_label
_atom_site_type_symbol
_atom_site_fract_x
_atom_site_fract_y
_atom_site_fract_z
La1 La 0.000 0.000 0.000
Y1 Y 0.500 0.500 0.000
Sc1 Sc 0.000 0.500 0.500
Ru1 Ru 0.000 0.000 0.500
# total moment: 0.00 μB per formula unit

=====

Short version: #a is the most stable of them.

=====

#a
# LaRuSe3 (GGA-PBE, relaxed)
data_LaRuSe3
_chemical_formula_sum 'La1 Ru1 Se3'
_space_group_name_H-M_alt 'P m -3 m'
_space_group_IT_number 221
_space_group_name_Hall '-P 4 2 3'
_cell_length_a 4.934
_cell_length_b 4.934
_cell_length_c 4.934
_cell_angle_alpha 90.00
_cell_angle_beta 90.00
_cell_angle_gamma 90.00
loop_
_atom_site_label
_atom_site_type_symbol
_atom_site_fract_x
_atom_site_fract_y
_atom_site_fract_z
La1 La 0.000 0.000 0.000
Ru1 Ru 0.500 0.500 0.500
Se1 Se 0.000 0.500 0.500
# total moment: 1.48 μB per formula unit

=====

#b
# LaRuSe3 (GGA-PBE, relaxed)
data_LaRuSe3
_chemical_formula_sum 'La1 Ru1 Se3'
_space_group_name_H-M_alt 'P m -3 m'
_space_group_IT_number 221
_space_group_name_Hall '-P 4 2 3'
_cell_length_a 5.687
_cell_length_b 5.687
_cell_length_c 5.687
_cell_angle_alpha 90.00
_cell_angle_beta 90.00
_cell_angle_gamma 90.00
loop_
_atom_site_label
_atom_site_type_symbol
_atom_site_fract_x
_atom_site_fract_y
_atom_site_fract_z
La1 La 0.000 0.000 0.000
Ru1 Ru 0.500 0.500 0.500
Se1 Se 0.000 0.000 0.500
# total moment: 3.85 μB per formula unit

=====

Short version: #a is the most stable of them.

=====

#a
# LaRu3Se (GGA-PBE, relaxed)
data_LaRu3Se
_chemical_formula_sum 'La1 Ru3 Se1'
_space_group_name_H-M_alt 'P m -3 m'
_space_group_IT_number 221
_space_group_name_Hall '-P 4 2 3'
_cell_length_a 4.627
_cell_length_b 4.627
_cell_length_c 4.627
_cell_angle_alpha 90.00
_cell_angle_beta 90.00
_cell_angle_gamma 90.00
loop_
_atom_site_label
_atom_site_type_symbol
_atom_site_fract_x
_atom_site_fract_y
_atom_site_fract_z
La1 La 0.000 0.000 0.000
Ru1 Ru 0.000 0.500 0.500
Se1 Se 0.500 0.500 0.500
# total moment: 0.00 μB per formula unit

=====

#b
# LaRu3Se (GGA-PBE, relaxed)
data_LaRu3Se
_chemical_formula_sum 'La1 Ru3 Se1'
_space_group_name_H-M_alt 'P m -3 m'
_space_group_IT_number 221
_space_group_name_Hall '-P 4 2 3'
_cell_length_a 4.881
_cell_length_b 4.881
_cell_length_c 4.881
_cell_angle_alpha 90.00
_cell_angle_beta 90.00
_cell_angle_gamma 90.00
loop_
_atom_site_label
_atom_site_type_symbol
_atom_site_fract_x
_atom_site_fract_y
_atom_site_fract_z
La1 La 0.000 0.000 0.000
Ru1 Ru 0.000 0.000 0.500
Se1 Se 0.500 0.500 0.500
# total moment: 4.11 μB per formula unit

=====

Short version: #a is the most stable of them.